# 1
# Tc2IrAu PBE relaxed
# * excess energy over the best structure of this formula in the dataset: 1146 meV/atom
# * DFT formation energy: 1.2509 eV/atom
# * calculated volume: 361.3 Å³/cell
data_Tc2IrAu
_symmetry_space_group_name_H-M 'I -4 2 d'
_symmetry_Int_Tables_number 122
_symmetry_space_group_name_Hall 'I -4 2bw'
_cell_length_a 5.8766
_cell_length_b 5.8766
_cell_length_c 10.4621
_cell_angle_alpha 90.00
_cell_angle_beta 90.00
_cell_angle_gamma 90.00
loop_
_atom_site_label
_atom_site_type_symbol
_atom_site_fract_x
_atom_site_fract_y
_atom_site_fract_z
_atom_site_occupancy
Tc1 Tc 0.2272 0.2500 0.1250 1
Ir1 Ir 0.0000 0.0000 0.0000 1
Au1 Au 0.0000 0.0000 0.5000 1

# 2
# CsCd4In PBE relaxed
# * excess energy over the best structure of this formula in the dataset: 0 meV/atom
# * DFT formation energy: -0.0403 eV/atom
# * calculated volume: 765.0 Å³/cell
data_CsCd4In
_symmetry_space_group_name_H-M 'C 1 2/m 1'
_symmetry_Int_Tables_number 12
_cell_length_a 13.1378
_cell_length_b 7.5242
_cell_length_c 7.9458
_cell_angle_alpha 90.00
_cell_angle_beta 103.12
_cell_angle_gamma 90.00
loop_
_symmetry_equiv_pos_as_xyz
'x,y,z'
'-x,-y,-z'
'-x,y,-z'
'x,-y,z'
'x+1/2,y+1/2,z'
'-x+1/2,-y+1/2,-z'
'-x+1/2,y+1/2,-z'
'x+1/2,-y+1/2,z'
loop_
_atom_site_label
_atom_site_type_symbol
_atom_site_fract_x
_atom_site_fract_y
_atom_site_fract_z
_atom_site_occupancy
Cs1 Cs 0.2269 0.0000 0.3454 1
Cd1 Cd 0.0000 0.1971 0.5000 1
Cd2 Cd 0.0888 0.1924 0.8990 1
Cd3 Cd 0.2103 0.5000 0.0960 1
In1 In 0.0337 0.5000 0.2618 1